Material: Cs2Ba4Zn
Method: DFT, PBE
State: optimized geometry

abc: 6.668 6.668 24.455
angles: 90.00 90.00 90.00
Fractional coordinates of all 14 atoms:
Cs: 0.000 0.000 0.168
Cs: 0.000 0.000 0.832
Cs: 0.500 0.500 0.332
Cs: 0.500 0.500 0.668
Ba: 0.000 0.000 0.368
Ba: 0.000 0.000 0.632
Ba: 0.000 0.500 0.000
Ba: 0.000 0.500 0.500
Ba: 0.500 0.000 0.000
Ba: 0.500 0.000 0.500
Ba: 0.500 0.500 0.132
Ba: 0.500 0.500 0.868
Zn: 0.000 0.000 0.500
Zn: 0.500 0.500 0.000

- Energy: -1.400 eV/atom
- M_tot: 0.00 μB/f.u.
- Volume: 1087.50 Å³ per cell

***

Material: Li2InBi2
Method: DFT, PBE
State: optimized geometry

abc: 8.711 8.711 3.291
angles: 90.00 90.00 90.00
Fractional coordinates of all 10 atoms:
Li: 0.122 0.378 0.000
Li: 0.378 0.878 0.000
Li: 0.622 0.122 0.000
Li: 0.878 0.622 0.000
In: 0.000 0.000 0.000
In: 0.500 0.500 0.000
Bi: 0.174 0.674 0.500
Bi: 0.326 0.174 0.500
Bi: 0.674 0.826 0.500
Bi: 0.826 0.326 0.500

- Energy above the lowest structure with this stoichiometry: 0.0063 eV/atom
- M_tot: 0.00 μB/f.u.
- Volume: 249.68 Å³ per cell

***

Material: Re2Ru
Method: DFT, PBE
State: optimized geometry

abc: 5.989 5.989 5.989
angles: 90.00 90.00 90.00
Fractional coordinates of all 12 atoms:
Re: 0.113 0.113 0.113
Re: 0.113 0.387 0.613
Re: 0.387 0.613 0.113
Re: 0.387 0.887 0.613
Re: 0.613 0.113 0.387
Re: 0.613 0.387 0.887
Re: 0.887 0.613 0.387
Re: 0.887 0.887 0.887
Ru: 0.000 0.000 0.500
Ru: 0.000 0.500 0.000
Ru: 0.500 0.000 0.000
Ru: 0.500 0.500 0.500

- Energy above the lowest structure with this stoichiometry: 1.3493 eV/atom
- M_tot: 0.00 μB/f.u.
- Volume: 214.83 Å³ per cell

***

Question: Which of these has the highest volume?
Answer: Cs2Ba4Zn

***

Question: Look up the volume of the first one.
Answer: 1087.50 Å³ per cell